No. 1
VASP calculation (PBE) on a geometry-optimized Ba2ZrIr structure.

Unit cell a=8.783 b=8.783 c=8.783 alpha=94.67 beta=94.67 gamma=146.83
Element x y z (fractional)
Ba  0.375  0.034  0.159
Ba  0.784  0.625  0.659
Ba  0.875  0.216  0.841
Ba  0.966  0.125  0.341
Zr  0.250  0.750  0.500
Zr  0.500  0.500  0.000
Ir  0.000  0.000  0.000
Ir  0.750  0.250  0.500

Computed properties:
D(E_F) = 8.853 states/eV/cell
crystal system = tetragonal
mass density = 5.217 g cm⁻³
energy above the lowest structure with this stoichiometry = 343 meV/atom
formation energy = 0.233 eV/atom
calculated total energy = -5.0810 eV per atom
SG = I-42d (122)

---

No. 2
VASP calculation (PBE) on a geometry-optimized BaZr2Ir structure.

Unit cell a=6.481 b=6.481 c=6.481 alpha=150.50 beta=127.43 gamma=61.43
Element x y z (fractional)
Ba  0.000  0.000  0.000
Zr  0.307  0.807  0.500
Zr  0.693  0.193  0.500
Ir  0.500  0.500  0.000

Computed properties:
D(E_F) = 4.883 states/eV/cell
crystal system = orthorhombic
mass density = 8.056 g cm⁻³
energy above the lowest structure with this stoichiometry = 210 meV/atom
formation energy = 0.045 eV/atom
calculated total energy = -6.9247 eV per atom
SG = Immm (71)

---

No. 3
VASP calculation (PBE) on a geometry-optimized BaZrIr2 structure.

Unit cell a=4.847 b=4.847 c=4.847 alpha=60.00 beta=60.00 gamma=60.00
Element x y z (fractional)
Ba  0.000  0.000  0.000
Zr  0.250  0.250  0.250
Ir  0.500  0.500  0.500
Ir  0.750  0.750  0.750

Computed properties:
D(E_F) = 4.301 states/eV/cell
crystal system = cubic
mass density = 12.638 g cm⁻³
energy above the lowest structure with this stoichiometry = 745 meV/atom
formation energy = 0.376 eV/atom
calculated total energy = -6.6723 eV per atom
SG = F-43m (216)

---

No. 4
VASP calculation (PBE) on a geometry-optimized KBa2 structure.

Unit cell a=8.154 b=8.154 c=8.154 alpha=102.50 beta=102.50 gamma=124.55
Element x y z (fractional)
K  0.250  0.250  0.000
K  0.750  0.750  0.000
Ba  0.152  0.652  0.804
Ba  0.348  0.152  0.500
Ba  0.652  0.848  0.500
Ba  0.848  0.348  0.196

Computed properties:
D(E_F) = 8.955 states/eV/cell
crystal system = tetragonal
mass density = 2.637 g cm⁻³
formation energy = 0.158 eV/atom
calculated total energy = -1.4898 eV per atom
SG = I4/mcm (140)

---

No. 5
VASP calculation (PBE) on a geometry-optimized KBa4 structure.

Unit cell a=18.669 b=18.484 c=4.365 alpha=85.67 beta=80.85 gamma=13.48
Element x y z (fractional)
K  0.000  0.000  0.000
Ba  0.201  0.201  0.799
Ba  0.396  0.396  0.604
Ba  0.604  0.604  0.396
Ba  0.799  0.799  0.201

Computed properties:
D(E_F) = 7.149 states/eV/cell
crystal system = orthorhombic
mass density = 3.001 g cm⁻³
energy above the lowest structure with this stoichiometry = 0 meV/atom
formation energy = 0.037 eV/atom
calculated total energy = -1.7208 eV per atom
SG = Fmmm (69)

---

No. 6
VASP calculation (PBE) on a geometry-optimized KBa5 structure.

Unit cell a=8.426 b=8.426 c=8.426 alpha=60.00 beta=60.00 gamma=60.00
Element x y z (fractional)
K  0.000  0.000  0.000
Ba  0.375  0.375  0.375
Ba  0.375  0.375  0.874
Ba  0.375  0.874  0.375
Ba  0.750  0.750  0.750
Ba  0.874  0.375  0.375

Computed properties:
D(E_F) = 8.658 states/eV/cell
crystal system = cubic
mass density = 2.849 g cm⁻³
energy above the lowest structure with this stoichiometry = 94 meV/atom
formation energy = 0.142 eV/atom
calculated total energy = -1.6429 eV per atom
SG = F-43m (216)

---

No. 7
VASP calculation (PBE) on a geometry-optimized K2Ba structure.

Unit cell a=8.932 b=8.932 c=11.217 alpha=105.32 beta=105.32 gamma=29.06
Element x y z (fractional)
K  0.000  0.000  0.000
K  0.062  0.062  0.617
K  0.398  0.398  0.287
K  0.725  0.725  0.951
Ba  0.332  0.332  0.660
Ba  0.674  0.674  0.339

Computed properties:
D(E_F) = 6.907 states/eV/cell
crystal system = monoclinic
mass density = 1.712 g cm⁻³
formation energy = 0.087 eV/atom
calculated total energy = -1.2857 eV per atom
SG = Cm (8)

---

No. 8
VASP calculation (PBE) on a geometry-optimized K12Ba17 structure.

Unit cell a=13.557 b=13.557 c=13.557 alpha=109.47 beta=109.47 gamma=109.47
Element x y z (fractional)
K  0.000  0.187  0.362
K  0.000  0.362  0.187
K  0.176  0.813  0.813
K  0.187  0.000  0.362
K  0.187  0.362  0.000
K  0.362  0.000  0.187
K  0.362  0.187  0.000
K  0.638  0.638  0.824
K  0.638  0.824  0.638
K  0.813  0.176  0.813
K  0.813  0.813  0.176
K  0.824  0.638  0.638
Ba  0.000  0.000  0.000
Ba  0.000  0.000  0.626
Ba  0.000  0.390  0.675
Ba  0.000  0.626  0.000
Ba  0.000  0.675  0.390
Ba  0.284  0.610  0.610
Ba  0.325  0.325  0.716
Ba  0.325  0.716  0.325
Ba  0.374  0.374  0.374
Ba  0.390  0.000  0.675
Ba  0.390  0.675  0.000
Ba  0.610  0.284  0.610
Ba  0.610  0.610  0.284
Ba  0.626  0.000  0.000
Ba  0.675  0.000  0.390
Ba  0.675  0.390  0.000
Ba  0.716  0.325  0.325

Computed properties:
D(E_F) = 22.813 states/eV/cell
crystal system = cubic
mass density = 2.427 g cm⁻³
formation energy = 0.088 eV/atom
calculated total energy = -1.4938 eV per atom
SG = I-43m (217)

---

No. 9
VASP calculation (PBE) on a geometry-optimized K2Ba5 structure.

Unit cell a=19.113 b=19.113 c=19.113 alpha=165.08 beta=165.08 gamma=21.16
Element x y z (fractional)
K  0.214  0.214  0.000
K  0.786  0.786  0.000
Ba  0.066  0.066  0.000
Ba  0.364  0.364  0.000
Ba  0.500  0.500  0.000
Ba  0.636  0.636  0.000
Ba  0.934  0.934  0.000

Computed properties:
D(E_F) = 10.848 states/eV/cell
crystal system = tetragonal
mass density = 2.744 g cm⁻³
formation energy = 0.045 eV/atom
calculated total energy = -1.6420 eV per atom
SG = I4/mmm (139)

---

No. 10
VASP calculation (PBE) on a geometry-optimized KBa2 structure.

Unit cell a=8.551 b=8.551 c=8.551 alpha=60.00 beta=60.00 gamma=60.00
Element x y z (fractional)
K  0.125  0.125  0.125
K  0.875  0.875  0.875
Ba  0.000  0.500  0.500
Ba  0.500  0.000  0.500
Ba  0.500  0.500  0.000
Ba  0.500  0.500  0.500

Computed properties:
D(E_F) = 11.187 states/eV/cell
crystal system = cubic
mass density = 2.356 g cm⁻³
formation energy = 0.189 eV/atom
calculated total energy = -1.4592 eV per atom
SG = Fd-3m (227)

---

No. 11
VASP calculation (PBE) on a geometry-optimized K11Ba structure.

Unit cell a=14.893 b=14.893 c=4.454 alpha=90.00 beta=90.00 gamma=120.00
Element x y z (fractional)
K  0.000  0.500  0.000
K  0.168  0.336  0.500
K  0.168  0.832  0.500
K  0.333  0.667  0.000
K  0.336  0.168  0.500
K  0.500  0.000  0.000
K  0.500  0.500  0.000
K  0.664  0.832  0.500
K  0.667  0.333  0.000
K  0.832  0.168  0.500
K  0.832  0.664  0.500
Ba  0.000  0.000  0.000

Computed properties:
D(E_F) = 11.787 states/eV/cell
crystal system = hexagonal
mass density = 1.101 g cm⁻³
formation energy = 0.036 eV/atom
calculated total energy = -1.1306 eV per atom
SG = P6/mmm (191)

---

No. 12
VASP calculation (PBE) on a geometry-optimized K5Ba4 structure.

Unit cell a=12.928 b=12.928 c=8.631 alpha=90.00 beta=90.00 gamma=120.00
Element x y z (fractional)
K  0.000  0.365  0.250
K  0.000  0.635  0.750
K  0.333  0.667  0.000
K  0.333  0.667  0.500
K  0.365  0.000  0.250
K  0.365  0.365  0.750
K  0.635  0.000  0.750
K  0.635  0.635  0.250
K  0.667  0.333  0.000
K  0.667  0.333  0.500
Ba  0.000  0.000  0.000
Ba  0.000  0.000  0.500
Ba  0.000  0.292  0.750
Ba  0.000  0.708  0.250
Ba  0.292  0.000  0.750
Ba  0.292  0.292  0.250
Ba  0.708  0.000  0.250
Ba  0.708  0.708  0.750

Computed properties:
D(E_F) = 25.100 states/eV/cell
crystal system = hexagonal
mass density = 1.980 g cm⁻³
formation energy = 0.137 eV/atom
calculated total energy = -1.3278 eV per atom
SG = P6_3/mcm (193)